[1]
This record from Alexandria describes an optimized crystal structure of Pm7Sb2C2. The functional is GGA-PBE.

a = 9.707 Å, b = 9.707 Å, c = 9.707 Å
α = 158.60°, β = 66.36°, γ = 118.03°
Atoms (fractional coordinates):
Pm (0.000, 0.000, 0.000)
Pm (0.290, 0.424, 0.866)
Pm (0.310, 0.617, 0.692)
Pm (0.558, 0.424, 0.134)
Pm (0.634, 0.294, 0.340)
Pm (0.925, 0.617, 0.308)
Pm (0.954, 0.294, 0.660)
Sb (0.259, 0.759, 0.500)
Sb (0.679, 0.679, 0.000)
C (0.128, 0.864, 0.264)
C (0.600, 0.864, 0.736)

[2]
This record from Alexandria describes an optimized crystal structure of Pm4Sb3C. The functional is GGA-PBE.

a = 9.784 Å, b = 9.052 Å, c = 6.215 Å
α = 90.00°, β = 90.00°, γ = 90.00°
Atoms (fractional coordinates):
Pm (0.000, 0.083, 0.000)
Pm (0.000, 0.812, 0.545)
Pm (0.212, 0.689, 0.004)
Pm (0.288, 0.311, 0.504)
Pm (0.500, 0.188, 0.045)
Pm (0.500, 0.917, 0.500)
Pm (0.712, 0.311, 0.504)
Pm (0.788, 0.689, 0.004)
Sb (0.000, 0.148, 0.496)
Sb (0.218, 0.344, 0.001)
Sb (0.282, 0.656, 0.501)
Sb (0.500, 0.852, 0.996)
Sb (0.718, 0.656, 0.501)
Sb (0.782, 0.344, 0.001)
C (0.000, 0.819, 0.929)
C (0.500, 0.181, 0.429)

[3]
This record from Alexandria describes an optimized crystal structure of Pm12Sb3C5. The functional is GGA-PBE.

a = 14.120 Å, b = 14.120 Å, c = 14.120 Å
α = 109.47°, β = 109.47°, γ = 109.47°
Atoms (fractional coordinates):
Pm (0.018, 0.201, 0.114)
Pm (0.018, 0.318, 0.905)
Pm (0.087, 0.701, 0.682)
Pm (0.087, 0.886, 0.405)
Pm (0.095, 0.614, 0.413)
Pm (0.095, 0.982, 0.682)
Pm (0.114, 0.018, 0.201)
Pm (0.114, 0.595, 0.913)
Pm (0.182, 0.201, 0.587)
Pm (0.182, 0.482, 0.595)
Pm (0.201, 0.114, 0.018)
Pm (0.201, 0.587, 0.182)
Pm (0.299, 0.318, 0.913)
Pm (0.299, 0.482, 0.386)
Pm (0.318, 0.905, 0.018)
Pm (0.318, 0.913, 0.299)
Pm (0.386, 0.299, 0.482)
Pm (0.386, 0.587, 0.905)
Pm (0.405, 0.087, 0.886)
Pm (0.405, 0.818, 0.518)
Pm (0.413, 0.095, 0.614)
Pm (0.413, 0.818, 0.799)
Pm (0.482, 0.386, 0.299)
Pm (0.482, 0.595, 0.182)
Pm (0.518, 0.405, 0.818)
Pm (0.518, 0.614, 0.701)
Pm (0.587, 0.182, 0.201)
Pm (0.587, 0.905, 0.386)
Pm (0.595, 0.182, 0.482)
Pm (0.595, 0.913, 0.114)
Pm (0.614, 0.413, 0.095)
Pm (0.614, 0.701, 0.518)
Pm (0.682, 0.087, 0.701)
Pm (0.682, 0.095, 0.982)
Pm (0.701, 0.518, 0.614)
Pm (0.701, 0.682, 0.087)
Pm (0.799, 0.413, 0.818)
Pm (0.799, 0.886, 0.982)
Pm (0.818, 0.518, 0.405)
Pm (0.818, 0.799, 0.413)
Pm (0.886, 0.405, 0.087)
Pm (0.886, 0.982, 0.799)
Pm (0.905, 0.018, 0.318)
Pm (0.905, 0.386, 0.587)
Pm (0.913, 0.114, 0.595)
Pm (0.913, 0.299, 0.318)
Pm (0.982, 0.682, 0.095)
Pm (0.982, 0.799, 0.886)
Sb (0.125, 0.250, 0.375)
Sb (0.125, 0.375, 0.750)
Sb (0.250, 0.375, 0.125)
Sb (0.250, 0.875, 0.625)
Sb (0.375, 0.125, 0.250)
Sb (0.375, 0.750, 0.125)
Sb (0.625, 0.250, 0.875)
Sb (0.625, 0.875, 0.750)
Sb (0.750, 0.125, 0.375)
Sb (0.750, 0.625, 0.875)
Sb (0.875, 0.625, 0.250)
Sb (0.875, 0.750, 0.625)
C (0.000, 0.000, 0.000)
C (0.000, 0.000, 0.500)
C (0.000, 0.500, 0.000)
C (0.000, 0.500, 0.500)
C (0.125, 0.750, 0.875)
C (0.125, 0.875, 0.250)
C (0.250, 0.125, 0.875)
C (0.250, 0.625, 0.375)
C (0.375, 0.250, 0.625)
C (0.375, 0.625, 0.750)
C (0.500, 0.000, 0.000)
C (0.500, 0.000, 0.500)
C (0.500, 0.500, 0.000)
C (0.500, 0.500, 0.500)
C (0.625, 0.375, 0.250)
C (0.625, 0.750, 0.375)
C (0.750, 0.375, 0.625)
C (0.750, 0.875, 0.125)
C (0.875, 0.125, 0.750)
C (0.875, 0.250, 0.125)

[4]
This record from Alexandria describes an optimized crystal structure of Pm7Sb3C2. The functional is GGA-PBE.

a = 12.955 Å, b = 12.955 Å, c = 4.945 Å
α = 90.00°, β = 90.00°, γ = 157.59°
Atoms (fractional coordinates):
Pm (0.000, 0.000, 0.000)
Pm (0.096, 0.904, 0.500)
Pm (0.198, 0.802, 0.000)
Pm (0.402, 0.598, 0.000)
Pm (0.598, 0.402, 0.000)
Pm (0.802, 0.198, 0.000)
Pm (0.904, 0.096, 0.500)
Sb (0.312, 0.688, 0.500)
Sb (0.500, 0.500, 0.500)
Sb (0.688, 0.312, 0.500)
C (0.103, 0.897, 0.000)
C (0.897, 0.103, 0.000)

In order of appearance, uncorrected energy = -63.5, -90.2, -488.9, -71.6 eV per cell.
In order of appearance, total magnetization = 0.000, 0.000, 0.000, 0.000 μB/f.u..
In order of appearance, formation energy from raw total energies = -31.31, -54.43, -32.49, -60.52 kJ per mole of atoms.